Entry 1:
DFT (GGA-PBE) results for a relaxed structure of SbHO2.

Cell lengths 3.564, 3.564, 13.873 Å; angles 90.00, 90.00, 120.00 degrees
Element x y z (fractional)
Sb (0.000, 0.000, 0.000)
Sb (0.333, 0.667, 0.667)
Sb (0.667, 0.333, 0.333)
H (0.000, 0.000, 0.500)
H (0.333, 0.667, 0.167)
H (0.667, 0.333, 0.833)
O (0.000, 0.000, 0.413)
O (0.000, 0.000, 0.587)
O (0.333, 0.667, 0.079)
O (0.333, 0.667, 0.254)
O (0.667, 0.333, 0.746)
O (0.667, 0.333, 0.921)

total DFT energy (no corrections) = -5.284 eV per atom
size of the total moment = 0.000 μB/atom
SG = No. 166



Entry 2:
DFT (GGA-PBE) results for a relaxed structure of SbHO3.

Cell lengths 7.487, 7.487, 4.435 Å; angles 90.00, 90.00, 154.24 degrees
Element x y z (fractional)
Sb (0.162, 0.838, 0.500)
Sb (0.838, 0.162, 0.000)
H (0.409, 0.591, 0.567)
H (0.591, 0.409, 0.067)
O (0.081, 0.919, 0.821)
O (0.260, 0.740, 0.171)
O (0.392, 0.608, 0.788)
O (0.608, 0.392, 0.288)
O (0.740, 0.260, 0.671)
O (0.919, 0.081, 0.321)

total DFT energy (no corrections) = -5.456 eV per atom
size of the total moment = 0.001 μB/atom
SG = No. 36



Entry 3:
DFT (GGA-PBE) results for a relaxed structure of Sb2H2O5.

Cell lengths 6.772, 6.772, 3.853 Å; angles 90.03, 90.03, 34.50 degrees
Element x y z (fractional)
Sb (0.149, 0.149, 0.000)
Sb (0.851, 0.851, 0.000)
H (0.471, 0.471, 0.503)
H (0.529, 0.529, 0.497)
O (0.000, 0.000, 0.000)
O (0.156, 0.156, 0.500)
O (0.312, 0.312, 0.000)
O (0.688, 0.688, 0.000)
O (0.844, 0.844, 0.500)

total DFT energy (no corrections) = -5.294 eV per atom
size of the total moment = 0.000 μB/atom
SG = No. 12



Entry 4:
DFT (GGA-PBE) results for a relaxed structure of SbHO.

Cell lengths 4.526, 4.571, 5.699 Å; angles 83.02, 66.81, 81.65 degrees
Element x y z (fractional)
Sb (0.000, 0.000, 0.000)
Sb (0.090, 0.478, 0.574)
H (0.466, 0.013, 0.495)
H (0.671, 0.879, 0.963)
O (0.312, 0.732, 0.707)
O (0.501, 0.211, 0.393)

total DFT energy (no corrections) = -4.751 eV per atom
size of the total moment = 0.000 μB/atom
SG = No. 1



Entry 5:
DFT (GGA-PBE) results for a relaxed structure of SbHO2.

Cell lengths 4.532, 4.532, 9.090 Å; angles 90.00, 90.00, 90.00 degrees
Element x y z (fractional)
Sb (0.000, 0.000, 0.000)
Sb (0.000, 0.500, 0.250)
Sb (0.500, 0.000, 0.750)
Sb (0.500, 0.500, 0.500)
H (0.000, 0.000, 0.500)
H (0.000, 0.500, 0.750)
H (0.500, 0.000, 0.250)
H (0.500, 0.500, 0.000)
O (0.166, 0.250, 0.625)
O (0.250, 0.666, 0.875)
O (0.250, 0.834, 0.375)
O (0.334, 0.250, 0.125)
O (0.666, 0.750, 0.125)
O (0.750, 0.166, 0.375)
O (0.750, 0.334, 0.875)
O (0.834, 0.750, 0.625)

total DFT energy (no corrections) = -4.528 eV per atom
size of the total moment = 0.000 μB/atom
SG = No. 122



Entry 6:
DFT (GGA-PBE) results for a relaxed structure of SbHO2.

Cell lengths 5.346, 5.346, 5.346 Å; angles 90.00, 90.00, 90.00 degrees
Element x y z (fractional)
Sb (0.000, 0.000, 0.000)
Sb (0.000, 0.500, 0.500)
Sb (0.500, 0.000, 0.500)
Sb (0.500, 0.500, 0.000)
H (0.000, 0.000, 0.500)
H (0.000, 0.500, 0.000)
H (0.500, 0.000, 0.000)
H (0.500, 0.500, 0.500)
O (0.250, 0.250, 0.250)
O (0.250, 0.250, 0.750)
O (0.250, 0.750, 0.250)
O (0.250, 0.750, 0.750)
O (0.750, 0.250, 0.250)
O (0.750, 0.250, 0.750)
O (0.750, 0.750, 0.250)
O (0.750, 0.750, 0.750)

total DFT energy (no corrections) = -4.476 eV per atom
size of the total moment = 0.117 μB/atom
SG = No. 225



Entry 7:
DFT (GGA-PBE) results for a relaxed structure of SbHO3.

Cell lengths 5.332, 5.332, 8.470 Å; angles 111.26, 111.26, 46.44 degrees
Element x y z (fractional)
Sb (0.110, 0.110, 0.193)
Sb (0.890, 0.890, 0.807)
H (0.254, 0.254, 0.881)
H (0.746, 0.746, 0.119)
O (0.111, 0.111, 0.953)
O (0.314, 0.314, 0.808)
O (0.451, 0.451, 0.530)
O (0.549, 0.549, 0.470)
O (0.686, 0.686, 0.192)
O (0.889, 0.889, 0.047)

total DFT energy (no corrections) = -5.342 eV per atom
size of the total moment = 0.198 μB/atom
SG = No. 12



Entry 8:
DFT (GGA-PBE) results for a relaxed structure of SbHO.

Cell lengths 3.147, 3.150, 4.757 Å; angles 85.46, 85.44, 87.94 degrees
Element x y z (fractional)
Sb (0.000, 0.000, 0.000)
H (0.711, 0.718, 0.487)
O (0.932, 0.931, 0.446)

total DFT energy (no corrections) = -4.819 eV per atom
size of the total moment = 0.000 μB/atom
SG = No. 1



Entry 9:
DFT (GGA-PBE) results for a relaxed structure of SbHO2.

Cell lengths 3.046, 3.046, 16.722 Å; angles 90.00, 90.00, 120.00 degrees
Element x y z (fractional)
Sb (0.000, 0.000, 0.000)
Sb (0.333, 0.667, 0.667)
Sb (0.667, 0.333, 0.333)
H (0.000, 0.000, 0.500)
H (0.333, 0.667, 0.167)
H (0.667, 0.333, 0.833)
O (0.000, 0.000, 0.115)
O (0.000, 0.000, 0.885)
O (0.333, 0.667, 0.551)
O (0.333, 0.667, 0.782)
O (0.667, 0.333, 0.218)
O (0.667, 0.333, 0.449)

total DFT energy (no corrections) = -3.977 eV per atom
size of the total moment = 0.000 μB/atom
SG = No. 166



Entry 10:
DFT (GGA-PBE) results for a relaxed structure of SbHO3.

Cell lengths 3.883, 3.883, 3.883 Å; angles 90.00, 90.00, 90.00 degrees
Element x y z (fractional)
Sb (0.000, 0.000, 0.000)
H (0.500, 0.500, 0.500)
O (0.000, 0.000, 0.500)
O (0.000, 0.500, 0.000)
O (0.500, 0.000, 0.000)

total DFT energy (no corrections) = -4.628 eV per atom
size of the total moment = 0.111 μB/atom
SG = No. 221



Entry 11:
DFT (GGA-PBE) results for a relaxed structure of SbH3O.

Cell lengths 3.704, 3.704, 3.704 Å; angles 90.00, 90.00, 90.00 degrees
Element x y z (fractional)
Sb (0.000, 0.000, 0.000)
H (0.000, 0.000, 0.500)
H (0.000, 0.500, 0.000)
H (0.500, 0.000, 0.000)
O (0.500, 0.500, 0.500)

total DFT energy (no corrections) = -3.133 eV per atom
size of the total moment = 0.000 μB/atom
SG = No. 221



Entry 12:
DFT (GGA-PBE) results for a relaxed structure of TaSbH2O.

Cell lengths 3.839, 3.839, 4.083 Å; angles 90.00, 90.00, 90.00 degrees
Element x y z (fractional)
Ta (0.000, 0.000, 0.000)
Sb (0.500, 0.500, 0.500)
H (0.000, 0.500, 0.000)
H (0.500, 0.000, 0.000)
O (0.000, 0.000, 0.500)

total DFT energy (no corrections) = -5.712 eV per atom
size of the total moment = 0.000 μB/atom
SG = No. 123



Entry 13:
DFT (GGA-PBE) results for a relaxed structure of Sb2TeHO.

Cell lengths 4.738, 4.738, 4.910 Å; angles 90.00, 90.00, 90.00 degrees
Element x y z (fractional)
Sb (0.000, 0.500, 0.000)
Sb (0.500, 0.000, 0.000)
Te (0.000, 0.000, 0.500)
H (0.500, 0.500, 0.500)
O (0.000, 0.000, 0.000)

total DFT energy (no corrections) = -3.392 eV per atom
size of the total moment = 0.146 μB/atom
SG = No. 123